# Ru2W (GGA-PBE, relaxed)
# D(E_F) (states/eV/cell): 15.39
# Energy of formation from the pure elements (eV/atom): 0.313
data_Ru2W
_cell_length_a 2.773
_cell_length_b 2.773
_cell_length_c 23.954
_cell_angle_alpha 90.00
_cell_angle_beta 90.00
_cell_angle_gamma 90.00
_symmetry_space_group_name_H-M 'I 41/a m d'
_symmetry_Int_Tables_number 141
loop_
_symmetry_equiv_pos_as_xyz
'x,y,z'
'-x,-y,-z'
'-y+1/4,x+3/4,z+1/4'
'y+1/4,-x+3/4,-z+1/4'
'-x+1/2,-y,z+1/2'
'x+1/2,y,-z+1/2'
'y+1/4,-x+1/4,z+3/4'
'-y+1/4,x+1/4,-z+3/4'
'x,-y,-z'
'-x,y,z'
'-y+1/4,-x+1/4,-z+3/4'
'y+1/4,x+1/4,z+3/4'
'-x+1/2,y,-z+1/2'
'x+1/2,-y,z+1/2'
'y+1/4,x+3/4,-z+1/4'
'-y+1/4,-x+3/4,z+1/4'
'x+1/2,y+1/2,z+1/2'
'-x+1/2,-y+1/2,-z+1/2'
'-y+3/4,x+1/4,z+3/4'
'y+3/4,-x+1/4,-z+3/4'
'-x,-y+1/2,z'
'x,y+1/2,-z'
'y+3/4,-x+3/4,z+1/4'
'-y+3/4,x+3/4,-z+1/4'
'x+1/2,-y+1/2,-z+1/2'
'-x+1/2,y+1/2,z+1/2'
'-y+3/4,-x+3/4,-z+1/4'
'y+3/4,x+3/4,z+1/4'
'-x,y+1/2,-z'
'x,-y+1/2,z'
'y+3/4,x+1/4,-z+3/4'
'-y+3/4,-x+1/4,z+3/4'
loop_
_atom_site_label
_atom_site_type_symbol
_atom_site_fract_x
_atom_site_fract_y
_atom_site_fract_z
Ru1 Ru 0.000 0.250 0.296
W1 W 0.000 0.250 0.875